Entry 1:
! Mg2AsP, optimized geometry, DFT GGA-PBE; values from VASP
! Energy relative to the elements (eV/atom): -0.24
! E above lowest polymorph (kJ/mol of atoms): 8.28
! Electronic total energy (eV/atom): -3.551
! ρ (g cm⁻³): 3.32
! Volume (Å³/cell): 77.29
&SYSTEM
  ibrav = 0, nat = 4, ntyp = 3
/
ATOMIC_SPECIES
Mg 24.30 Mg.upf
As 74.92 As.upf
P 30.97 P.upf
CELL_PARAMETERS angstrom
-1.742 1.988 5.577
1.742 -1.988 5.577
1.742 1.988 -5.577
ATOMIC_POSITIONS crystal
Mg 0.000 0.000 0.000
Mg 0.726 0.226 0.500
As 0.405 0.405 0.000
P 0.192 0.692 0.500

=====

Entry 2:
! MgAsP2, optimized geometry, DFT GGA-PBE; values from VASP
! Energy relative to the elements (eV/atom): 0.04
! E above lowest polymorph (kJ/mol of atoms): 18.48
! Electronic total energy (eV/atom): -4.230
! ρ (g cm⁻³): 3.09
! Volume (Å³/cell): 86.66
&SYSTEM
  ibrav = 0, nat = 4, ntyp = 3
/
ATOMIC_SPECIES
Mg 24.30 Mg.upf
As 74.92 As.upf
P 30.97 P.upf
CELL_PARAMETERS angstrom
1.648 0.952 9.210
-1.648 0.952 9.210
0.000 -1.903 9.210
ATOMIC_POSITIONS crystal
Mg 0.000 0.000 0.000
As 0.263 0.263 0.263
P 0.455 0.455 0.455
P 0.745 0.745 0.745

=====

Entry 3:
! MgAsP2, optimized geometry, DFT GGA-PBE; values from VASP
! Energy relative to the elements (eV/atom): 0.05
! E above lowest polymorph (kJ/mol of atoms): 19.88
! Electronic total energy (eV/atom): -4.215
! ρ (g cm⁻³): 3.65
! Volume (Å³/cell): 73.33
&SYSTEM
  ibrav = 0, nat = 4, ntyp = 3
/
ATOMIC_SPECIES
Mg 24.30 Mg.upf
As 74.92 As.upf
P 30.97 P.upf
CELL_PARAMETERS angstrom
2.677 -3.706 0.000
2.677 3.706 0.000
-2.518 0.000 3.695
ATOMIC_POSITIONS crystal
Mg 0.000 0.000 0.000
As 0.500 0.500 0.000
P 0.000 0.500 0.500
P 0.500 0.000 0.500

=====

Entry 4:
! Mg3AsP, optimized geometry, DFT GGA-PBE; values from VASP
! Energy relative to the elements (eV/atom): -0.58
! E above lowest polymorph (kJ/mol of atoms): 0.00
! Electronic total energy (eV/atom): -3.545
! ρ (g cm⁻³): 2.35
! Volume (Å³/cell): 252.91
&SYSTEM
  ibrav = 0, nat = 10, ntyp = 3
/
ATOMIC_SPECIES
Mg 24.30 Mg.upf
As 74.92 As.upf
P 30.97 P.upf
CELL_PARAMETERS angstrom
6.407 0.000 0.000
0.000 4.370 0.000
-0.789 0.000 9.034
ATOMIC_POSITIONS crystal
Mg 0.020 0.250 0.127
Mg 0.027 0.750 0.377
Mg 0.470 0.750 0.848
Mg 0.530 0.250 0.152
Mg 0.973 0.250 0.623
Mg 0.980 0.750 0.873
As 0.269 0.750 0.114
As 0.731 0.250 0.886
P 0.178 0.750 0.648
P 0.822 0.250 0.352